{
  "formula": "InReB3",
  "functional": "GGA-PBE",
  "state": "optimized geometry",
  "magmom_total_mub_per_cell": 0.00,
  "total_energy_ev_per_atom": -3.9983,
  "sg": "Pm-3m",
  "e_form_ev_per_fu": 15.23,
  "vol_a3_per_cell": 75.48,
  "e_above_lowest_polymorph_ev_per_atom": 2.060,
  "cell": [[4.2262, 0.0000, 0.0000], [0.0000, 4.2262, 0.0000], [0.0000, 0.0000, 4.2262]],
  "species": ["In", "Re", "B", "B", "B"],
  "fractional_positions": [[0.0000, 0.0000, 0.0000], [0.5000, 0.5000, 0.5000], [0.0000, 0.0000, 0.5000], [0.0000, 0.5000, 0.0000], [0.5000, 0.0000, 0.0000]]
}